Entry 1:
TbMg2Cu, optimized geometry, DFT PBE-GGA; energy of formation from the pure elements = -8 kJ/mol of formula units; total magnetic moment = 0.0 μB per formula unit
1.0
4.2176 0.0000 0.0000
0.0000 4.2176 0.0000
0.0000 0.0000 4.9531
Tb Mg Cu
1 2 1
Direct
0.0000 0.0000 0.0000 Tb
0.0000 0.5000 0.5000 Mg
0.5000 0.0000 0.5000 Mg
0.5000 0.5000 0.0000 Cu

***

Entry 2:
LiGa3Sn, optimized geometry, DFT PBE-GGA; relative energy among the computed polymorphs = 25.08 kJ per mole of atoms; energy of formation from the pure elements = 98 kJ/mol of formula units; total magnetic moment = 0.0 μB per formula unit
1.0
4.7423 0.0000 0.0000
0.0000 4.7423 0.0000
0.0000 0.0000 4.7423
Li Ga Sn
1 3 1
Direct
0.0000 0.0000 0.0000 Li
0.0000 0.0000 0.5000 Ga
0.0000 0.5000 0.0000 Ga
0.5000 0.0000 0.0000 Ga
0.5000 0.5000 0.5000 Sn

***

Entry 3:
KHgP, optimized geometry, DFT PBE-GGA; energy of formation from the pure elements = -65 kJ/mol of formula units; total magnetic moment = 0.0 μB per formula unit
1.0
6.4340 -1.7298 0.0000
6.4340 1.7298 0.0000
-1.1689 0.0000 8.5698
K Hg P
2 2 2
Direct
0.0000 0.0000 0.0000 K
0.1913 0.1913 0.5230 K
0.4539 0.4539 0.3328 Hg
0.7399 0.7399 0.1560 Hg
0.5122 0.5122 0.6752 P
0.9018 0.9018 0.6341 P

***

Entry 4:
YEr6Zn2, optimized geometry, DFT PBE-GGA; energy of formation from the pure elements = -128 kJ/mol of formula units; total magnetic moment = 0.0 μB per formula unit
1.0
6.1795 -1.7942 0.0000
6.1795 1.7942 0.0000
-3.9342 0.0000 10.9938
Y Er Zn
1 6 2
Direct
0.0000 0.0000 0.0000 Y
0.0229 0.0229 0.3283 Er
0.3086 0.3086 0.1253 Er
0.3156 0.3156 0.4133 Er
0.6844 0.6844 0.5867 Er
0.6914 0.6914 0.8747 Er
0.9771 0.9771 0.6717 Er
0.3493 0.3493 0.7922 Zn
0.6507 0.6507 0.2078 Zn

***

Entry 5:
Er2Tm8Th3, optimized geometry, DFT PBE-GGA; relative energy among the computed polymorphs = 0.00 kJ per mole of atoms; energy of formation from the pure elements = 205 kJ/mol of formula units; total magnetic moment = 0.0 μB per formula unit
1.0
11.2964 -3.3666 0.0000
11.2964 3.3666 0.0000
-1.3648 0.0000 5.3929
Er Tm Th
2 8 3
Direct
0.2232 0.2232 0.2234 Er
0.7768 0.7768 0.7766 Er
0.0751 0.0751 0.0752 Tm
0.0864 0.6104 0.3481 Tm
0.3139 0.3139 0.8137 Tm
0.3896 0.9136 0.6519 Tm
0.6104 0.0864 0.3481 Tm
0.6861 0.6861 0.1863 Tm
0.9136 0.3896 0.6519 Tm
0.9249 0.9249 0.9248 Tm
0.2313 0.7687 0.5000 Th
0.5000 0.5000 0.0000 Th
0.7687 0.2313 0.5000 Th

***

Entry 6:
GaAg2Ir, optimized geometry, DFT PBE-GGA; energy of formation from the pure elements = 104 kJ/mol of formula units; total magnetic moment = 0.0 μB per formula unit
1.0
-1.8690 1.8690 10.0038
1.8690 -1.8690 10.0038
1.8690 1.8690 -10.0038
Ga Ag Ir
2 4 2
Direct
0.0000 0.0000 0.0000 Ga
0.7500 0.2500 0.5000 Ga
0.1264 0.6250 0.0014 Ag
0.3750 0.3764 0.5014 Ag
0.6236 0.1250 0.9986 Ag
0.8750 0.8736 0.4986 Ag
0.2500 0.7500 0.5000 Ir
0.5000 0.5000 0.0000 Ir

***

Entry 7:
ThTe2Pb, optimized geometry, DFT PBE-GGA; energy relative to the elements, uncorrected = -0.767 eV/atom; total magnetic moment = 0.0 μB per formula unit
1.0
3.9369 0.0000 0.0000
0.0000 3.9369 0.0000
0.0000 0.0000 7.8202
Th Te Pb
1 2 1
Direct
0.0000 0.0000 0.0000 Th
0.5000 0.5000 0.2251 Te
0.5000 0.5000 0.7749 Te
0.0000 0.0000 0.5000 Pb

***

Entry 8:
Sr2CaSbO, optimized geometry, DFT PBE-GGA; energy relative to the elements, uncorrected = -1.558 eV/atom; total magnetic moment = 0.0 μB per formula unit
1.0
5.2509 0.0000 0.0000
0.0000 5.2509 0.0000
0.0000 0.0000 4.7208
Sr Ca Sb O
2 1 1 1
Direct
0.0000 0.5000 0.0000 Sr
0.5000 0.0000 0.0000 Sr
0.0000 0.0000 0.5000 Ca
0.5000 0.5000 0.5000 Sb
0.0000 0.0000 0.0000 O

***

What did the first record say?
TbMg2Cu, optimized geometry, DFT PBE-GGA; energy of formation from the pure elements = -8 kJ/mol of formula units; total magnetic moment = 0.0 μB per formula unit
1.0
4.2176 0.0000 0.0000
0.0000 4.2176 0.0000
0.0000 0.0000 4.9531
Tb Mg Cu
1 2 1
Direct
0.0000 0.0000 0.0000 Tb
0.0000 0.5000 0.5000 Mg
0.5000 0.0000 0.5000 Mg
0.5000 0.5000 0.0000 Cu

***

- total magnetic moment of number 3 (KHgP)?
  0.0 μB per formula unit

***

- What is the formula in the sixth record?
  GaAg2Ir